VASP calculation (PBE+U) on a geometry-optimized Li2MgCr3S6O24 structure.

```
data_Li2MgCr3S6O24
_cell_length_a 8.3459
_cell_length_b 8.4535
_cell_length_c 8.9601
_cell_angle_alpha 117.50
_cell_angle_beta 90.23
_cell_angle_gamma 119.09
_space_group_name_H-M_alt 'P 1'
_space_group_IT_number 1
loop_
_space_group_symop_operation_xyz
'x,y,z'
loop_
_atom_site_label
_atom_site_type_symbol
_atom_site_fract_x
_atom_site_fract_y
_atom_site_fract_z
Li1 Li 0.0000 0.0000 0.0000
Li2 Li 0.2500 0.6751 0.0027
Mg1 Mg 0.0730 0.9023 0.3107
Cr1 Cr 0.2786 0.3016 0.9001
Cr2 Cr 0.5784 0.9140 0.8118
Cr3 Cr 0.7816 0.3227 0.4301
S1 S 0.1821 0.4154 0.6170
S2 S 0.3883 0.1058 0.1113
S3 S 0.4723 0.1094 0.6060
S4 S 0.6879 0.8398 0.1206
S5 S 0.8714 0.8011 0.6133
S6 S 0.9574 0.3888 0.1061
O1 O 0.0402 0.9436 0.7720
O2 O 0.0446 0.4702 0.5874
O3 O 0.0485 0.5971 0.1188
O4 O 0.0880 0.3099 0.0659
O5 O 0.1437 0.2172 0.4660
O6 O 0.1636 0.4000 0.7782
O7 O 0.1918 0.9933 0.1280
O8 O 0.3255 0.9799 0.4363
O9 O 0.3801 0.5940 0.6557
O10 O 0.4030 0.9270 0.9702
O11 O 0.4125 0.2549 0.0598
O12 O 0.4511 0.2789 0.7413
O13 O 0.4515 0.9610 0.6624
O14 O 0.4842 0.6819 0.0817
O15 O 0.5306 0.2173 0.2790
O16 O 0.6687 0.2157 0.5871
O17 O 0.7199 0.8806 0.9701
O18 O 0.7341 0.8706 0.6475
O19 O 0.7534 0.0435 0.2862
O20 O 0.7715 0.2336 0.9621
O21 O 0.7736 0.5804 0.5789
O22 O 0.8141 0.7697 0.1347
O23 O 0.9264 0.4203 0.2769
O24 O 0.9271 0.8087 0.4617
```

Properties
Crystal system: triclinic
Magnetization in μB/atom: 0.28
Volume in Å³/f.u.: 468.20
E_tot in eV/atom: -6.429